1.
# PBE-GGA CuAsPbS3, optimized geometry
data_CuAsPbS3
_symmetry_space_group_name_H-M 'P 1'
_symmetry_Int_Tables_number 1
_symmetry_space_group_name_Hall 'P 1'
_cell_length_a 7.689
_cell_length_b 8.191
_cell_length_c 9.057
_cell_angle_alpha 90.00
_cell_angle_beta 90.00
_cell_angle_gamma 90.00
loop_
_atom_site_label
_atom_site_fract_x
_atom_site_fract_y
_atom_site_fract_z
Cu1 0.238 0.223 0.000
Cu2 0.262 0.777 0.500
Cu3 0.738 0.777 0.500
Cu4 0.762 0.223 0.000
As1 0.000 0.001 0.733
As2 0.000 0.564 0.153
As3 0.500 0.436 0.653
As4 0.500 0.999 0.233
Pb1 0.000 0.046 0.267
Pb2 0.000 0.422 0.580
Pb3 0.500 0.578 0.080
Pb4 0.500 0.954 0.767
S1 0.000 0.248 0.853
S2 0.000 0.715 0.371
S3 0.224 0.051 0.571
S4 0.227 0.391 0.208
S5 0.273 0.609 0.708
S6 0.276 0.949 0.071
S7 0.500 0.285 0.871
S8 0.500 0.752 0.353
S9 0.724 0.949 0.071
S10 0.727 0.609 0.708
S11 0.773 0.391 0.208
S12 0.776 0.051 0.571
# * symmetry: No. 31
# * size of the total moment: 0.0 μB per formula unit
# * formation energy without anion corrections: -0.312 eV/atom

2.
# PBE-GGA Tl3Cu4As8Pb3S20, optimized geometry
data_Tl3Cu4As8Pb3S20
_symmetry_space_group_name_H-M 'P 1'
_symmetry_Int_Tables_number 1
_symmetry_space_group_name_Hall 'P 1'
_cell_length_a 7.589
_cell_length_b 9.982
_cell_length_c 14.557
_cell_angle_alpha 94.03
_cell_angle_beta 91.47
_cell_angle_gamma 109.48
loop_
_atom_site_label
_atom_site_fract_x
_atom_site_fract_y
_atom_site_fract_z
Tl1 0.000 0.000 0.000
Tl2 0.055 0.955 0.701
Tl3 0.372 0.987 0.420
Cu1 0.700 0.256 0.917
Cu2 0.708 0.707 0.207
Cu3 0.723 0.187 0.711
Cu4 0.731 0.767 0.417
As1 0.456 0.417 0.355
As2 0.459 0.911 0.866
As3 0.567 0.362 0.129
As4 0.592 0.854 0.640
As5 0.839 0.596 0.988
As6 0.851 0.121 0.499
As7 0.944 0.528 0.755
As8 0.980 0.065 0.275
Pb1 0.017 0.450 0.184
Pb2 0.394 0.529 0.942
Pb3 0.481 0.472 0.618
S1 0.009 0.255 0.382
S2 0.408 0.722 0.749
S3 0.419 0.229 0.243
S4 0.432 0.540 0.136
S5 0.437 0.232 0.999
S6 0.460 0.025 0.628
S7 0.472 0.699 0.512
S8 0.533 0.817 0.989
S9 0.548 0.313 0.469
S10 0.653 0.374 0.788
S11 0.688 0.893 0.296
S12 0.751 0.578 0.328
S13 0.755 0.068 0.841
S14 0.864 0.627 0.636
S15 0.878 0.153 0.154
S16 0.965 0.737 0.116
S17 0.976 0.941 0.492
S18 0.977 0.421 0.991
S19 0.993 0.248 0.629
S20 0.996 0.721 0.874
# * symmetry: No. 1
# * size of the total moment: 0.5 μB per formula unit
# * formation energy without anion corrections: -0.203 eV/atom

3.
# PBE-GGA CuSbAsPb2, optimized geometry
data_CuSbAsPb2
_symmetry_space_group_name_H-M 'P 1'
_symmetry_Int_Tables_number 1
_symmetry_space_group_name_Hall 'P 1'
_cell_length_a 5.303
_cell_length_b 5.303
_cell_length_c 4.942
_cell_angle_alpha 90.00
_cell_angle_beta 90.00
_cell_angle_gamma 90.00
loop_
_atom_site_label
_atom_site_fract_x
_atom_site_fract_y
_atom_site_fract_z
Cu1 0.000 0.000 0.000
Sb1 0.000 0.000 0.500
As1 0.500 0.500 0.500
Pb1 0.000 0.500 0.000
Pb2 0.500 0.000 0.000
# * symmetry: No. 123
# * size of the total moment: 0.0 μB per formula unit
# * formation energy without anion corrections: 0.394 eV/atom

4.
# PBE-GGA CuAs2PbSe, optimized geometry
data_CuAs2PbSe
_symmetry_space_group_name_H-M 'P 1'
_symmetry_Int_Tables_number 1
_symmetry_space_group_name_Hall 'P 1'
_cell_length_a 4.727
_cell_length_b 4.727
_cell_length_c 5.350
_cell_angle_alpha 90.00
_cell_angle_beta 90.00
_cell_angle_gamma 90.00
loop_
_atom_site_label
_atom_site_fract_x
_atom_site_fract_y
_atom_site_fract_z
Cu1 0.000 0.000 0.000
As1 0.000 0.500 0.000
As2 0.500 0.000 0.000
Pb1 0.500 0.500 0.500
Se1 0.000 0.000 0.500
# * symmetry: No. 123
# * size of the total moment: 0.3 μB per formula unit
# * formation energy without anion corrections: 0.334 eV/atom